Entry 1:
Sr2LaFe: optimized geometry, PBE-GGA.

Unit cell a=4.9154 b=4.9154 c=5.6817 alpha=90.00 beta=90.00 gamma=90.00
Last column: nearest neighbours and their distance in Å.
Fractional positions:
Sr (0.0000, 0.5000, 0.0000)  4 Sr 3.48, 4 La 3.76, 4 Fe 3.76
Sr (0.5000, 0.0000, 0.0000)  4 Sr 3.48, 4 La 3.76, 4 Fe 3.76
La (0.0000, 0.0000, 0.5000)  4 Fe 3.48, 8 Sr 3.76
Fe (0.5000, 0.5000, 0.5000)  4 La 3.48, 8 Sr 3.76

Summary:
Energy relative to the elements, meV/atom: 605
E above lowest polymorph, eV/atom: 0.322
DFT total energy, eV/atom: -3.58
Symmetry: P4/mmm (123)
Fermi-level density of states, states/eV/cell: 8.89



Entry 2:
SrLa2Fe: optimized geometry, PBE-GGA.

Unit cell a=7.8759 b=7.8759 c=7.8759 alpha=90.00 beta=90.00 gamma=90.00
Last column: nearest neighbours and their distance in Å.
Fractional positions:
Sr (0.0000, 0.0000, 0.0000)  4 La 3.41, 4 Fe 3.41
Sr (0.0000, 0.5000, 0.5000)  4 Fe 3.41, 4 La 3.41
Sr (0.5000, 0.0000, 0.5000)  4 Fe 3.41, 4 La 3.41
Sr (0.5000, 0.5000, 0.0000)  4 Fe 3.41, 4 La 3.41
La (0.0000, 0.0000, 0.5000)  4 La 3.41, 4 Fe 3.41
La (0.0000, 0.5000, 0.0000)  4 La 3.41, 4 Fe 3.41
La (0.2500, 0.2500, 0.7500)  4 La 3.41, 4 Sr 3.41
La (0.2500, 0.7500, 0.2500)  4 La 3.41, 4 Sr 3.41
La (0.5000, 0.0000, 0.0000)  4 La 3.41, 4 Fe 3.41
La (0.5000, 0.5000, 0.5000)  4 La 3.41, 4 Fe 3.41
La (0.7500, 0.2500, 0.2500)  4 La 3.41, 4 Sr 3.41
La (0.7500, 0.7500, 0.7500)  4 La 3.41, 4 Sr 3.41
Fe (0.2500, 0.2500, 0.2500)  4 La 3.41, 4 Sr 3.41
Fe (0.2500, 0.7500, 0.7500)  4 La 3.41, 4 Sr 3.41
Fe (0.7500, 0.2500, 0.7500)  4 La 3.41, 4 Sr 3.41
Fe (0.7500, 0.7500, 0.2500)  4 La 3.41, 4 Sr 3.41

Summary:
Energy relative to the elements, meV/atom: 576
E above lowest polymorph, eV/atom: 0.433
DFT total energy, eV/atom: -4.42
Symmetry: F-43m (216)
Fermi-level density of states, states/eV/cell: 28.96



Entry 3:
SrLa2Fe: optimized geometry, PBE-GGA.

Unit cell a=4.6631 b=5.6317 c=10.2017 alpha=90.00 beta=90.00 gamma=90.00
Last column: nearest neighbours and their distance in Å.
Fractional positions:
Sr (0.0000, 0.0000, 0.0000)  4 Sr 3.66
Sr (0.5000, 0.5000, 0.0000)  4 Sr 3.66
La (0.0000, 0.5000, 0.3385)  2 Fe 2.85
La (0.0000, 0.5000, 0.6615)  2 Fe 2.85
La (0.5000, 0.0000, 0.3385)  2 Fe 2.85
La (0.5000, 0.0000, 0.6615)  2 Fe 2.85
Fe (0.0000, 0.0000, 0.5000)  4 La 2.85
Fe (0.5000, 0.5000, 0.5000)  4 La 2.85

Summary:
Energy relative to the elements, meV/atom: 174
E above lowest polymorph, eV/atom: 0.031
DFT total energy, eV/atom: -4.83
Symmetry: Cmmm (65)
Fermi-level density of states, states/eV/cell: 10.51